This record from Alexandria via LeMat-Bulk describes a relaxed LaPm8Er6 crystal. The functional is GGA-PBE.

Properties
* formation energy: 163 meV/atom
* E: -4.525 eV/atom
* relative energy among the computed polymorphs: 0 meV/atom
* mass density: 7.6 g cm⁻³

Unit cell a=9.2759 b=9.2759 c=20.3029 alpha=90.00 beta=90.00 gamma=120.00
Space group R-3 (No. 148, hexagonal axes)
One atom of each set of equivalent atoms:
La 0.0000 0.0000 0.0000 [3 per cell]
Pm 0.0000 0.0000 0.4272 [6 per cell]
Pm 0.0664 0.8215 0.1598 [18 per cell]
Er 0.0426 0.7999 0.6931 [18 per cell]